a) {
  "formula": "YIr2Ru",
  "functional": "PBE",
  "state": "relaxed",
  "lattice_angstrom": [[0.353, 0.290, 4.597], [2.212, 3.570, 1.926], [-2.380, 3.223, 2.300]],
  "species": ["Y", "Ir", "Ir", "Ru"],
  "frac_coords": [[0.000, 0.000, 0.000], [0.750, 0.750, 0.750], [0.250, 0.250, 0.250], [0.500, 0.500, 0.500]],
  "magnetic_moment_mub_per_atom": 0.746
}


b) {
  "formula": "YIr2Ru",
  "functional": "PBE",
  "state": "relaxed",
  "lattice_angstrom": [[-1.635, 1.841, 4.335], [-0.311, -3.663, 3.368], [3.680, 1.420, -3.047]],
  "species": ["Ir", "Ir", "Ru", "Y"],
  "frac_coords": [[0.750, 0.250, 0.500], [0.000, 0.000, 0.000], [0.500, 0.500, 0.000], [0.250, 0.750, 0.500]],
  "magnetic_moment_mub_per_atom": 0.000
}


Computed stability ranking, most favorable first: b), a)


a) {
  "formula": "YIr2Ru",
  "functional": "PBE",
  "state": "relaxed",
  "lattice_angstrom": [[2.915, 0.000, 0.000], [0.000, 4.821, -0.007], [0.000, 3.340, 4.690]],
  "species": ["Ru", "Ir", "Ir", "Y"],
  "frac_coords": [[0.500, 0.500, 0.500], [0.000, 0.000, 0.000], [0.500, 0.500, 0.000], [0.000, 0.000, 0.500]],
  "magnetic_moment_mub_per_atom": 0.000
}


b) {
  "formula": "YIr2Ru",
  "functional": "PBE",
  "state": "relaxed",
  "lattice_angstrom": [[-3.811, 1.176, -2.980], [-1.862, -0.228, -4.612], [-2.696, -4.140, 0.343]],
  "species": ["Y", "Ru", "Ir", "Ir"],
  "frac_coords": [[0.250, 0.250, 0.250], [0.750, 0.750, 0.750], [0.491, 0.491, 0.532], [0.009, 0.009, 0.968]],
  "magnetic_moment_mub_per_atom": 0.000
}


Computed stability ranking, most favorable first: a), b)


a) {
  "formula": "YIr2Ru",
  "functional": "PBE",
  "state": "relaxed",
  "lattice_angstrom": [[-0.647, 3.613, 2.739], [-1.369, -1.695, 1.912], [4.405, -0.991, 2.347]],
  "species": ["Ir", "Ir", "Y", "Ru"],
  "frac_coords": [[0.000, 0.127, 0.979], [0.500, 0.125, 0.304], [0.500, 0.630, 0.800], [0.000, 0.618, 0.418]],
  "magnetic_moment_mub_per_atom": 0.000
}


b) {
  "formula": "YIr2Ru",
  "functional": "PBE",
  "state": "relaxed",
  "lattice_angstrom": [[2.928, 0.000, 0.000], [0.000, 2.928, 0.000], [0.000, 0.000, 7.914]],
  "species": ["Ru", "Y", "Ir", "Ir"],
  "frac_coords": [[0.000, 0.000, 0.464], [0.500, 0.500, 0.752], [0.000, 0.000, 0.027], [0.500, 0.500, 0.256]],
  "magnetic_moment_mub_per_atom": 0.000
}


Computed stability ranking, most favorable first: a), b)


a) {
  "formula": "YIr2Ru",
  "functional": "PBE",
  "state": "relaxed",
  "lattice_angstrom": [[4.584, 0.000, 0.000], [0.000, 4.584, 0.000], [2.292, 2.292, 8.448]],
  "species": ["Ru", "Ru", "Ir", "Ir", "Ir", "Ir", "Y", "Y"],
  "frac_coords": [[0.750, 0.250, 0.500], [0.000, 0.000, 0.000], [0.875, 0.015, 0.750], [0.375, 0.235, 0.750], [0.985, 0.625, 0.250], [0.765, 0.125, 0.250], [0.500, 0.500, 0.000], [0.250, 0.750, 0.500]],
  "magnetic_moment_mub_per_atom": 0.000
}


b) {
  "formula": "YIr2Ru",
  "functional": "PBE",
  "state": "relaxed",
  "lattice_angstrom": [[-5.635, 7.697, -0.939], [-6.566, 6.796, 1.608], [-4.254, 8.468, 1.441]],
  "species": ["Ru", "Ir", "Ir", "Y"],
  "frac_coords": [[0.508, 0.508, 0.508], [0.249, 0.249, 0.249], [0.994, 0.994, 0.994], [0.749, 0.749, 0.749]],
  "magnetic_moment_mub_per_atom": 0.001
}


c) {
  "formula": "YIr2Ru",
  "functional": "PBE",
  "state": "relaxed",
  "lattice_angstrom": [[-1.783, 4.140, -4.613], [1.575, -4.488, -1.059], [-2.521, -0.558, -1.387]],
  "species": ["Ir", "Ir", "Ru", "Y"],
  "frac_coords": [[0.000, 0.000, 0.000], [0.500, 0.000, 0.500], [0.000, 0.500, 0.500], [0.500, 0.500, 0.000]],
  "magnetic_moment_mub_per_atom": 0.000
}


d) {
  "formula": "YIr2Ru",
  "functional": "PBE",
  "state": "relaxed",
  "lattice_angstrom": [[-1.245, -0.727, 2.523], [-1.085, -2.401, -1.227], [6.541, -4.014, 2.071]],
  "species": ["Ir", "Ir", "Y", "Ru"],
  "frac_coords": [[0.000, 0.000, 0.031], [0.000, 0.000, 0.469], [0.500, 0.500, 0.750], [0.500, 0.500, 0.250]],
  "magnetic_moment_mub_per_atom": 0.000
}


Computed stability ranking, most favorable first: c), d), a), b)


a) {
  "formula": "YIr2Ru",
  "functional": "PBE",
  "state": "relaxed",
  "lattice_angstrom": [[4.927, 0.006, -0.002], [4.061, 2.789, -0.002], [0.919, 0.286, 4.978]],
  "species": ["Y", "Ir", "Ir", "Ru"],
  "frac_coords": [[0.251, 0.251, 0.244], [0.009, 0.009, 0.970], [0.751, 0.751, 0.734], [0.489, 0.489, 0.553]],
  "magnetic_moment_mub_per_atom": 0.000
}


b) {
  "formula": "YIr2Ru",
  "functional": "PBE",
  "state": "relaxed",
  "lattice_angstrom": [[-1.929, -2.520, 1.170], [2.764, -1.888, 0.491], [0.522, 2.247, 5.700]],
  "species": ["Ir", "Ir", "Y", "Ru"],
  "frac_coords": [[0.000, 0.000, 0.462], [0.000, 0.000, 0.038], [0.500, 0.500, 0.750], [0.500, 0.500, 0.250]],
  "magnetic_moment_mub_per_atom": 0.321
}


Computed stability ranking, most favorable first: a), b)


a) {
  "formula": "YIr2Ru",
  "functional": "PBE",
  "state": "relaxed",
  "lattice_angstrom": [[4.599, 0.000, 0.000], [2.300, 3.983, 0.000], [2.300, 1.328, 3.755]],
  "species": ["Ir", "Ir", "Y", "Ru"],
  "frac_coords": [[0.000, 0.000, 0.000], [0.250, 0.250, 0.250], [0.750, 0.750, 0.750], [0.500, 0.500, 0.500]],
  "magnetic_moment_mub_per_atom": 0.605
}


b) {
  "formula": "YIr2Ru",
  "functional": "PBE",
  "state": "relaxed",
  "lattice_angstrom": [[-3.880, -1.168, -0.358], [0.875, -3.490, 1.896], [-0.845, 1.718, 3.553]],
  "species": ["Ir", "Ir", "Ru", "Y"],
  "frac_coords": [[0.000, 0.000, 0.000], [0.500, 0.500, 0.000], [0.500, 0.000, 0.500], [0.000, 0.500, 0.500]],
  "magnetic_moment_mub_per_atom": 0.000
}


Computed stability ranking, most favorable first: b), a)